Entry 1:
First-principles (PBE) data for crystalline Dy3Bi at its relaxed geometry, as listed in Alexandria via LeMat-Bulk.

## Properties
* E: -4.70 eV per atom
* ΔE_f: -276 meV per atom
* crystal system: orthorhombic

POSCAR file:
```
Dy3Bi
1.0
3.717 0.000 0.000
0.000 5.333 0.000
0.000 0.000 6.012
Dy Bi
3 1
direct
0.000 0.000 0.000
0.000 0.500 0.381
0.500 0.000 0.523
0.500 0.500 0.869
```

---

Entry 2:
First-principles (PBE) data for crystalline AcLuScAg at its relaxed geometry, as listed in Alexandria via LeMat-Bulk.

## Properties
* E: -4.23 eV per atom
* ΔE_f: 221 meV per atom
* crystal system: cubic

POSCAR file:
```
AcLuScAg
1.0
7.623 0.000 0.000
0.000 7.623 0.000
0.000 0.000 7.623
Ac Lu Sc Ag
4 4 4 4
direct
0.000 0.000 0.000
0.000 0.500 0.500
0.500 0.000 0.500
0.500 0.500 0.000
0.250 0.250 0.750
0.250 0.750 0.250
0.750 0.250 0.250
0.750 0.750 0.750
0.250 0.250 0.250
0.250 0.750 0.750
0.750 0.250 0.750
0.750 0.750 0.250
0.000 0.000 0.500
0.000 0.500 0.000
0.500 0.000 0.000
0.500 0.500 0.500
```